Crystalline Nd4HoEr3 at its relaxed geometry, computed with PBE.

Results
ΔE_f = 0.176 eV/atom
DOS(E_F) = 1.349 states/eV per atom
electronic total energy = -4.491 eV/atom
magnetization = 0.0 Bohr magnetons per cell

Cell: 3.5761 5.9387 12.5484 Å, 86.31 89.91 89.99°
Closest atoms and distances in Å follow each position.
Space group P-1 (No. 2)
Symmetry-distinct sites (fractional):
Nd (0.0007, 0.1963, 0.2904)  1 Nd 3.09, 1 Er 3.28, 2 Ho 3.33
Nd (0.0030, 0.7568, 0.9566)  3 Nd 3.09-3.17
Ho (0.5000, 0.0000, 0.5000)  4 Nd 3.33, 4 Er 3.47, 2 Ho 3.58
Er (0.0000, 0.5000, 0.5000)  2 Nd 3.28, 4 Ho 3.47, 2 Er 3.58
Er (0.4995, 0.2936, 0.7826)  2 Er 3.58, 6 Nd 3.58-3.73